# VGeSCl2 (PBE, relaxed)
data_VGeSCl2
_symmetry_space_group_name_H-M 'P 4/m m m'
_symmetry_Int_Tables_number 123
_symmetry_space_group_name_Hall '-P 4 2'
_cell_length_a 4.752
_cell_length_b 4.752
_cell_length_c 4.786
_cell_angle_alpha 90.00
_cell_angle_beta 90.00
_cell_angle_gamma 90.00
loop_
_atom_site_label
_atom_site_type_symbol
_atom_site_fract_x
_atom_site_fract_y
_atom_site_fract_z
V1 V 0.000 0.000 0.000
Ge1 Ge 0.500 0.500 0.500
S1 S 0.000 0.000 0.500
Cl1 Cl 0.000 0.500 0.000
# - Total magnetic moment: 3.00 Bohr magnetons per cell
# - Formation energy (no corrections): -0.312 eV per atom
# - Excess energy over the best structure of this formula in the dataset: 0 meV per atom

# Zr4SbRu (PBE, relaxed)
data_Zr4SbRu
_symmetry_space_group_name_H-M 'F -4 3 m'
_symmetry_Int_Tables_number 216
_symmetry_space_group_name_Hall 'F -4 2 3'
_cell_length_a 7.965
_cell_length_b 7.965
_cell_length_c 7.965
_cell_angle_alpha 90.00
_cell_angle_beta 90.00
_cell_angle_gamma 90.00
loop_
_atom_site_label
_atom_site_type_symbol
_atom_site_fract_x
_atom_site_fract_y
_atom_site_fract_z
Zr1 Zr 0.124 0.124 0.124
Sb1 Sb 0.000 0.000 0.500
Ru1 Ru 0.250 0.250 0.750
# - Total magnetic moment: 0.00 Bohr magnetons per cell
# - Formation energy (no corrections): 0.288 eV per atom

# K3AuO3 (PBE, relaxed)
data_K3AuO3
_symmetry_space_group_name_H-M 'P 63/m'
_symmetry_Int_Tables_number 176
_symmetry_space_group_name_Hall '-P 6c'
_cell_length_a 8.0483
_cell_length_b 8.0483
_cell_length_c 5.5809
_cell_angle_alpha 90.00
_cell_angle_beta 90.00
_cell_angle_gamma 120.00
loop_
_atom_site_label
_atom_site_type_symbol
_atom_site_fract_x
_atom_site_fract_y
_atom_site_fract_z
K1 K 0.0934 0.7326 0.2500
Au1 Au 0.3333 0.6667 0.7500
O1 O 0.1031 0.7065 0.7500
# - Total magnetic moment: 3.96 Bohr magnetons per cell
# - Formation energy (no corrections): -0.843 eV per atom

# NaCaTl2Cl6 (PBE, relaxed)
data_NaCaTl2Cl6
_symmetry_space_group_name_H-M 'R 3'
_symmetry_Int_Tables_number 146
_symmetry_space_group_name_Hall 'R 3'
_cell_length_a 7.3251
_cell_length_b 7.3251
_cell_length_c 19.7692
_cell_angle_alpha 90.00
_cell_angle_beta 90.00
_cell_angle_gamma 120.00
loop_
_atom_site_label
_atom_site_type_symbol
_atom_site_fract_x
_atom_site_fract_y
_atom_site_fract_z
Na1 Na 0.0000 0.0000 0.0000
Ca1 Ca 0.0000 0.0000 0.4890
Tl1 Tl 0.0000 0.0000 0.2809
Tl2 Tl 0.0000 0.0000 0.7995
Cl1 Cl 0.0356 0.3558 0.0707
Cl2 Cl 0.0815 0.7370 0.5652
# - Total magnetic moment: 1.70 Bohr magnetons per cell
# - Formation energy (no corrections): -1.474 eV per atom

# Re2PRu (PBE, relaxed)
data_Re2PRu
_symmetry_space_group_name_H-M 'C m m 2'
_symmetry_Int_Tables_number 35
_symmetry_space_group_name_Hall 'C 2 -2'
_cell_length_a 2.921
_cell_length_b 4.734
_cell_length_c 8.307
_cell_angle_alpha 90.00
_cell_angle_beta 90.00
_cell_angle_gamma 90.00
loop_
_atom_site_label
_atom_site_type_symbol
_atom_site_fract_x
_atom_site_fract_y
_atom_site_fract_z
Re1 Re 0.000 0.000 0.000
Re2 Re 0.000 0.500 0.272
P1 P 0.000 0.500 0.768
Ru1 Ru 0.000 0.000 0.550
# - Total magnetic moment: 0.00 Bohr magnetons per cell
# - Energy of formation from the pure elements: 35.23 kJ per mole of atoms

# AcMg2ZnCd4 (PBE, relaxed)
data_AcMg2ZnCd4
_symmetry_space_group_name_H-M 'R -3 m'
_symmetry_Int_Tables_number 166
_symmetry_space_group_name_Hall '-R 3 2"'
_cell_length_a 4.8604
_cell_length_b 4.8604
_cell_length_c 28.7636
_cell_angle_alpha 90.00
_cell_angle_beta 90.00
_cell_angle_gamma 120.00
loop_
_atom_site_label
_atom_site_type_symbol
_atom_site_fract_x
_atom_site_fract_y
_atom_site_fract_z
Ac1 Ac 0.0000 0.0000 0.0000
Mg1 Mg 0.0000 0.0000 0.2423
Zn1 Zn 0.0000 0.0000 0.5000
Cd1 Cd 0.0000 0.0000 0.1306
Cd2 Cd 0.0000 0.0000 0.4009
# - Total magnetic moment: 0.00 Bohr magnetons per cell
# - Energy of formation from the pure elements: -13.57 kJ per mole of atoms

# LiSc2AlH (PBE, relaxed)
data_LiSc2AlH
_symmetry_space_group_name_H-M 'P 4/m m m'
_symmetry_Int_Tables_number 123
_symmetry_space_group_name_Hall '-P 4 2'
_cell_length_a 4.608
_cell_length_b 4.608
_cell_length_c 3.685
_cell_angle_alpha 90.00
_cell_angle_beta 90.00
_cell_angle_gamma 90.00
loop_
_atom_site_label
_atom_site_type_symbol
_atom_site_fract_x
_atom_site_fract_y
_atom_site_fract_z
Li1 Li 0.000 0.000 0.000
Sc1 Sc 0.000 0.500 0.500
Al1 Al 0.500 0.500 0.000
H1 H 0.000 0.000 0.500
# - Total magnetic moment: 0.69 Bohr magnetons per cell
# - E_tot: -4.68 eV per atom

# LiAu2Br (PBE, relaxed)
data_LiAu2Br
_symmetry_space_group_name_H-M 'I -4 m 2'
_symmetry_Int_Tables_number 119
_symmetry_space_group_name_Hall 'I -4 -2'
_cell_length_a 4.834
_cell_length_b 4.834
_cell_length_c 6.828
_cell_angle_alpha 90.00
_cell_angle_beta 90.00
_cell_angle_gamma 90.00
loop_
_atom_site_label
_atom_site_type_symbol
_atom_site_fract_x
_atom_site_fract_y
_atom_site_fract_z
Li1 Li 0.000 0.000 0.000
Au1 Au 0.000 0.000 0.500
Au2 Au 0.000 0.500 0.250
Br1 Br 0.000 0.500 0.750
# - Total magnetic moment: 0.00 Bohr magnetons per cell
# - Formation energy (no corrections): -0.124 eV per atom
# - Excess energy over the best structure of this formula in the dataset: 339 meV per atom

# Ac2CoSb (PBE, relaxed)
data_Ac2CoSb
_symmetry_space_group_name_H-M 'F m -3 m'
_symmetry_Int_Tables_number 225
_symmetry_space_group_name_Hall '-F 4 2 3'
_cell_length_a 7.875
_cell_length_b 7.875
_cell_length_c 7.875
_cell_angle_alpha 90.00
_cell_angle_beta 90.00
_cell_angle_gamma 90.00
loop_
_atom_site_label
_atom_site_type_symbol
_atom_site_fract_x
_atom_site_fract_y
_atom_site_fract_z
Ac1 Ac 0.250 0.250 0.250
Co1 Co 0.000 0.000 0.000
Sb1 Sb 0.000 0.000 0.500
# - Total magnetic moment: 3.50 Bohr magnetons per cell
# - Formation energy (no corrections): -0.206 eV per atom
# - Excess energy over the best structure of this formula in the dataset: 63 meV per atom

# CeNd6Er2Tm (PBE, relaxed)
data_CeNd6Er2Tm
_symmetry_space_group_name_H-M 'C 1 2/m 1'
_symmetry_Int_Tables_number 12
_symmetry_space_group_name_Hall '-C 2y'
_cell_length_a 11.266
_cell_length_b 7.091
_cell_length_c 8.818
_cell_angle_alpha 90.00
_cell_angle_beta 103.47
_cell_angle_gamma 90.00
loop_
_atom_site_label
_atom_site_type_symbol
_atom_site_fract_x
_atom_site_fract_y
_atom_site_fract_z
Ce1 Ce 0.000 0.000 0.000
Nd1 Nd 0.127 0.000 0.420
Nd2 Nd 0.171 0.268 0.796
Er1 Er 0.092 0.500 0.165
Tm1 Tm 0.000 0.500 0.500
# - Total magnetic moment: 2.42 Bohr magnetons per cell
# - Energy of formation from the pure elements: 22.85 kJ per mole of atoms

# AlSiO3 (PBE, relaxed)
data_AlSiO3
_symmetry_space_group_name_H-M 'P n m a'
_symmetry_Int_Tables_number 62
_symmetry_space_group_name_Hall '-P 2ac 2n'
_cell_length_a 5.436
_cell_length_b 9.659
_cell_length_c 4.338
_cell_angle_alpha 90.00
_cell_angle_beta 90.00
_cell_angle_gamma 90.00
loop_
_atom_site_label
_atom_site_type_symbol
_atom_site_fract_x
_atom_site_fract_y
_atom_site_fract_z
Al1 Al 0.000 0.000 0.000
Si1 Si 0.190 0.250 0.471
O1 O 0.050 0.750 0.761
O2 O 0.212 0.103 0.668
# - Total magnetic moment: 0.00 Bohr magnetons per cell
# - Formation energy (no corrections): -2.055 eV per atom

# K2ZrAg (PBE, relaxed)
data_K2ZrAg
_symmetry_space_group_name_H-M 'P 1 2/m 1'
_symmetry_Int_Tables_number 10
_symmetry_space_group_name_Hall '-P 2y'
_cell_length_a 3.098
_cell_length_b 6.383
_cell_length_c 5.998
_cell_angle_alpha 90.00
_cell_angle_beta 92.53
_cell_angle_gamma 90.00
loop_
_atom_site_label
_atom_site_type_symbol
_atom_site_fract_x
_atom_site_fract_y
_atom_site_fract_z
K1 K 0.241 0.000 0.262
Zr1 Zr 0.500 0.500 0.000
Ag1 Ag 0.000 0.500 0.500
# - Total magnetic moment: 0.54 Bohr magnetons per cell
# - Excess energy over the best structure of this formula in the dataset: 338 meV per atom
# - Energy of formation from the pure elements: 70.59 kJ per mole of atoms

# K2LaPt (PBE, relaxed)
data_K2LaPt
_symmetry_space_group_name_H-M 'F m -3 m'
_symmetry_Int_Tables_number 225
_symmetry_space_group_name_Hall '-F 4 2 3'
_cell_length_a 7.847
_cell_length_b 7.847
_cell_length_c 7.847
_cell_angle_alpha 90.00
_cell_angle_beta 90.00
_cell_angle_gamma 90.00
loop_
_atom_site_label
_atom_site_type_symbol
_atom_site_fract_x
_atom_site_fract_y
_atom_site_fract_z
K1 K 0.250 0.250 0.250
La1 La 0.000 0.000 0.000
Pt1 Pt 0.000 0.000 0.500
# - Total magnetic moment: 4.48 Bohr magnetons per cell
# - Excess energy over the best structure of this formula in the dataset: 937 meV per atom
# - Energy of formation from the pure elements: 53.72 kJ per mole of atoms

# Rb3Pa3TiTe8 (PBE, relaxed)
data_Rb3Pa3TiTe8
_symmetry_space_group_name_H-M 'R -3 m'
_symmetry_Int_Tables_number 166
_symmetry_space_group_name_Hall '-R 3 2"'
_cell_length_a 8.6401
_cell_length_b 8.6401
_cell_length_c 26.9441
_cell_angle_alpha 90.00
_cell_angle_beta 90.00
_cell_angle_gamma 120.00
loop_
_atom_site_label
_atom_site_type_symbol
_atom_site_fract_x
_atom_site_fract_y
_atom_site_fract_z
Rb1 Rb 0.0000 0.5000 0.0000
Pa1 Pa 0.0000 0.5000 0.5000
Ti1 Ti 0.0000 0.0000 0.5000
Te1 Te 0.0000 0.0000 0.2361
Te2 Te 0.0156 0.5078 0.2313
# - Total magnetic moment: 18.07 Bohr magnetons per cell
# - Formation energy (no corrections): -0.890 eV per atom

# KTmCdTe3 (PBE, relaxed)
data_KTmCdTe3
_symmetry_space_group_name_H-M 'P 1 21/m 1'
_symmetry_Int_Tables_number 11
_symmetry_space_group_name_Hall '-P 2yb'
_cell_length_a 9.489
_cell_length_b 4.477
_cell_length_c 10.775
_cell_angle_alpha 90.00
_cell_angle_beta 107.95
_cell_angle_gamma 90.00
loop_
_atom_site_label
_atom_site_type_symbol
_atom_site_fract_x
_atom_site_fract_y
_atom_site_fract_z
K1 K 0.211 0.250 0.240
Tm1 Tm 0.330 0.750 0.863
Cd1 Cd 0.082 0.250 0.607
Te1 Te 0.107 0.250 0.873
Te2 Te 0.239 0.750 0.545
Te3 Te 0.458 0.750 0.156
# - Total magnetic moment: 0.00 Bohr magnetons per cell
# - Formation energy (no corrections): -1.032 eV per atom

# Ac5PmPr2Sm (PBE, relaxed)
data_Ac5PmPr2Sm
_symmetry_space_group_name_H-M 'I 4/m c m'
_symmetry_Int_Tables_number 140
_symmetry_space_group_name_Hall '-I 4 2c'
_cell_length_a 8.524
_cell_length_b 8.524
_cell_length_c 20.682
_cell_angle_alpha 90.00
_cell_angle_beta 90.00
_cell_angle_gamma 90.00
loop_
_atom_site_label
_atom_site_type_symbol
_atom_site_fract_x
_atom_site_fract_y
_atom_site_fract_z
Ac1 Ac 0.000 0.000 0.000
Ac2 Ac 0.221 0.279 0.137
Pm1 Pm 0.000 0.000 0.250
Pr1 Pr 0.122 0.378 0.500
Sm1 Sm 0.000 0.500 0.250
# - Total magnetic moment: 0.00 Bohr magnetons per cell
# - Energy of formation from the pure elements: 26.23 kJ per mole of atoms

# FeMoRu2 (PBE, relaxed)
data_FeMoRu2
_symmetry_space_group_name_H-M 'I -4 m 2'
_symmetry_Int_Tables_number 119
_symmetry_space_group_name_Hall 'I -4 -2'
_cell_length_a 3.779
_cell_length_b 3.779
_cell_length_c 7.696
_cell_angle_alpha 90.00
_cell_angle_beta 90.00
_cell_angle_gamma 90.00
loop_
_atom_site_label
_atom_site_type_symbol
_atom_site_fract_x
_atom_site_fract_y
_atom_site_fract_z
Fe1 Fe 0.000 0.000 0.000
Mo1 Mo 0.000 0.500 0.750
Ru1 Ru 0.000 0.000 0.500
Ru2 Ru 0.000 0.500 0.250
# - Total magnetic moment: 2.22 Bohr magnetons per cell
# - Excess energy over the best structure of this formula in the dataset: 30 meV per atom
# - Energy of formation from the pure elements: 6.75 kJ per mole of atoms

# SrTeW (PBE, relaxed)
data_SrTeW
_symmetry_space_group_name_H-M 'I 4 m m'
_symmetry_Int_Tables_number 107
_symmetry_space_group_name_Hall 'I 4 -2'
_cell_length_a 3.545
_cell_length_b 3.545
_cell_length_c 12.156
_cell_angle_alpha 90.00
_cell_angle_beta 90.00
_cell_angle_gamma 90.00
loop_
_atom_site_label
_atom_site_type_symbol
_atom_site_fract_x
_atom_site_fract_y
_atom_site_fract_z
Sr1 Sr 0.000 0.000 0.000
Te1 Te 0.000 0.000 0.290
W1 W 0.000 0.000 0.693
# - Total magnetic moment: 0.00 Bohr magnetons per cell
# - Formation energy (no corrections): 0.316 eV per atom
# - Excess energy over the best structure of this formula in the dataset: 0 meV per atom

# Si2TcPb (PBE, relaxed)
data_Si2TcPb
_symmetry_space_group_name_H-M 'P 4/m m m'
_symmetry_Int_Tables_number 123
_symmetry_space_group_name_Hall '-P 4 2'
_cell_length_a 4.603
_cell_length_b 4.603
_cell_length_c 3.329
_cell_angle_alpha 90.00
_cell_angle_beta 90.00
_cell_angle_gamma 90.00
loop_
_atom_site_label
_atom_site_type_symbol
_atom_site_fract_x
_atom_site_fract_y
_atom_site_fract_z
Si1 Si 0.000 0.500 0.000
Tc1 Tc 0.000 0.000 0.500
Pb1 Pb 0.500 0.500 0.500
# - Total magnetic moment: 0.00 Bohr magnetons per cell
# - Formation energy (no corrections): 0.742 eV per atom

# Zr2RuN2 (PBE, relaxed)
data_Zr2RuN2
_symmetry_space_group_name_H-M 'P 4/m b m'
_symmetry_Int_Tables_number 127
_symmetry_space_group_name_Hall '-P 4 2ab'
_cell_length_a 6.740
_cell_length_b 6.740
_cell_length_c 2.943
_cell_angle_alpha 90.00
_cell_angle_beta 90.00
_cell_angle_gamma 90.00
loop_
_atom_site_label
_atom_site_type_symbol
_atom_site_fract_x
_atom_site_fract_y
_atom_site_fract_z
Zr1 Zr 0.157 0.343 0.000
Ru1 Ru 0.000 0.000 0.000
N1 N 0.145 0.645 0.500
# - Total magnetic moment: 1.80 Bohr magnetons per cell
# - Formation energy (no corrections): -0.041 eV per atom